[1]
Density functional theory data (GGA-PBEsol) for crystalline BaLiLa at its relaxed geometry.

* E: -2.95 eV per atom
* energy of formation from the pure elements: 0.62 eV per formula unit

Cell: 3.7620 3.7620 8.9855 Å, 90.00 90.00 120.00°
Space group P3m1 (No. 156)
Unique sites:
Ba (0.0000, 0.0000, 0.0000)
Li (0.6667, 0.3333, 0.3334)
La (0.3333, 0.6667, 0.6356)



[2]
Density functional theory data (GGA-PBEsol) for crystalline Ba2Li2La at its relaxed geometry.

* E: -2.55 eV per atom
* energy of formation from the pure elements: 0.81 eV per formula unit

Cell: 3.934 3.934 24.015 Å, 90.00 90.00 90.00°
Space group I4/mmm (No. 139)
Unique sites:
Ba (0.000, 0.000, 0.120)
Li (0.000, 0.500, 0.250)
La (0.000, 0.000, 0.500)



[3]
Density functional theory data (GGA-PBEsol) for crystalline BaLiLaTeO6 at its relaxed geometry.

* E: -6.76 eV per atom
* ΔE_f (raw): -2.31 eV per atom

Cell: 7.966 7.966 7.966 Å, 90.00 90.00 90.00°
Space group F-43m (No. 216)
Unique sites:
Ba (0.000, 0.000, 0.000)
Li (0.250, 0.250, 0.750)
La (0.000, 0.000, 0.500)
Te (0.250, 0.250, 0.250)
O (0.008, 0.250, 0.250)



[4]
Density functional theory data (GGA-PBEsol) for crystalline BaLiLaSc2 at its relaxed geometry.

* E: -3.75 eV per atom
* energy of formation from the pure elements: 3.90 eV per formula unit

Cell: 5.412 5.412 6.177 Å, 90.00 90.00 90.00°
Space group P4/mmm (No. 123)
Unique sites:
Ba (0.000, 0.000, 0.000)
Li (0.500, 0.500, 0.000)
La (0.000, 0.000, 0.500)
Sc (0.000, 0.500, 0.500)



[5]
Density functional theory data (GGA-PBEsol) for crystalline BaLa2Mg at its relaxed geometry.

* E: -3.53 eV per atom
* energy of formation from the pure elements: 0.45 eV per formula unit

Cell: 4.041 5.892 11.957 Å, 90.00 90.00 90.00°
Space group Imm2 (No. 44)
Unique sites:
Ba (0.000, 0.000, 0.000)
La (0.000, 0.000, 0.537)
La (0.000, 0.500, 0.775)
Mg (0.000, 0.500, 0.261)



[6]
Density functional theory data (GGA-PBEsol) for crystalline Ba2LaMg at its relaxed geometry.

* E: -2.81 eV per atom
* energy of formation from the pure elements: 0.13 eV per formula unit

Cell: 4.121 4.121 9.944 Å, 90.00 90.00 90.00°
Space group P4mm (No. 99)
Unique sites:
Ba (0.000, 0.000, 0.000)
Ba (0.500, 0.500, 0.338)
La (0.000, 0.000, 0.604)
Mg (0.500, 0.500, 0.773)